1.
Here is a relaxed Nd2Sm6Tm5 crystal from Alexandria via LeMat-Bulk. Energies are from PBE-GGA.

Properties
Its total energy is -117.768 eV per cell. The symmetry is Pbam, No. 55.

abc: 11.756 20.291 3.617
angles: 90.00 90.00 90.00
Atoms (fractional coordinates):
Nd (0.165, 0.216, 0.000)
Nd (0.335, 0.716, 0.000)
Nd (0.665, 0.284, 0.000)
Nd (0.835, 0.784, 0.000)
Sm (0.058, 0.922, 0.000)
Sm (0.080, 0.635, 0.000)
Sm (0.177, 0.374, 0.500)
Sm (0.323, 0.874, 0.500)
Sm (0.420, 0.135, 0.000)
Sm (0.442, 0.422, 0.000)
Sm (0.558, 0.578, 0.000)
Sm (0.580, 0.865, 0.000)
Sm (0.677, 0.126, 0.500)
Sm (0.823, 0.626, 0.500)
Sm (0.920, 0.365, 0.000)
Sm (0.942, 0.078, 0.000)
Tm (0.000, 0.500, 0.500)
Tm (0.095, 0.778, 0.500)
Tm (0.200, 0.054, 0.500)
Tm (0.300, 0.554, 0.500)
Tm (0.405, 0.278, 0.500)
Tm (0.500, 0.000, 0.500)
Tm (0.595, 0.722, 0.500)
Tm (0.700, 0.446, 0.500)
Tm (0.800, 0.946, 0.500)
Tm (0.905, 0.222, 0.500)

---

2.
Here is a relaxed CoRh2Se crystal from Alexandria via LeMat-Bulk. Energies are from PBE-GGA.

Properties
The raw formation energy is 0.1616 eV per atom. The symmetry is Pmm2, No. 25.

abc: 2.931 3.669 5.368
angles: 90.00 90.00 90.00
Atoms (fractional coordinates):
Co (0.000, 0.000, 0.000)
Rh (0.000, 0.000, 0.490)
Rh (0.500, 0.500, 0.188)
Se (0.500, 0.500, 0.700)

---

3.
Here is a relaxed Co2AgSe crystal from Alexandria via LeMat-Bulk. Energies are from PBE-GGA.

Properties
The raw formation energy is 0.3147 eV per atom. The symmetry is R3m, No. 160.

abc: 8.885 8.885 8.885
angles: 18.45 18.45 18.45
Atoms (fractional coordinates):
Co (0.000, 0.000, 0.000)
Co (0.264, 0.264, 0.264)
Ag (0.752, 0.752, 0.752)
Se (0.530, 0.530, 0.530)

---

4.
Here is a relaxed CuSiRh2 crystal from Alexandria via LeMat-Bulk. Energies are from PBE-GGA.

Properties
The raw formation energy is -0.1176 eV per atom. The symmetry is R3m, No. 160.

abc: 8.336 8.336 8.336
angles: 19.09 19.09 19.09
Atoms (fractional coordinates):
Cu (0.000, 0.000, 0.000)
Si (0.256, 0.256, 0.256)
Rh (0.514, 0.514, 0.514)
Rh (0.754, 0.754, 0.754)